# Ba6N2Cl PBE optimized geometry
# VASP energy: -3.976 eV/atom
# Energy relative to the elements, uncorrected: -0.639 eV per atom
data_Ba6N2Cl
_symmetry_space_group_name_H-M 'P 1'
_symmetry_Int_Tables_number 1
_symmetry_space_group_name_Hall 'P 1'
_cell_length_a 8.2049
_cell_length_b 8.2049
_cell_length_c 10.6055
_cell_angle_alpha 106.41
_cell_angle_beta 106.41
_cell_angle_gamma 34.42
loop_
_atom_site_label
_atom_site_fract_x
_atom_site_fract_y
_atom_site_fract_z
_atom_site_occupancy
Ba1 0.0896 0.0896 0.2476 1
Ba2 0.3287 0.3287 0.9739 1
Ba3 0.3463 0.3463 0.3634 1
Ba4 0.6537 0.6537 0.6366 1
Ba5 0.6713 0.6713 0.0261 1
Ba6 0.9104 0.9104 0.7524 1
N1 0.2233 0.2233 0.1492 1
N2 0.7767 0.7767 0.8508 1
Cl1 0.0000 0.0000 0.5000 1